! Sb3Se GGA-PBE relaxed; values from VASP
&SYSTEM
  ibrav = 0, nat = 4, ntyp = 2
/
ATOMIC_SPECIES
Sb 121.76 Sb.upf
Se 78.96 Se.upf
CELL_PARAMETERS angstrom
4.693 0.000 0.000
0.000 4.693 0.000
0.000 0.000 4.693
ATOMIC_POSITIONS crystal
Sb 0.000 0.000 0.500
Sb 0.000 0.500 0.000
Sb 0.500 0.000 0.000
Se 0.500 0.500 0.500
! Raw formation energy: 0.3665 eV per atom
! Relative energy among the computed polymorphs: 377.4 meV/atom
! Fermi-level density of states: 1.320 states/eV/atom

***

! SbSe3 GGA-PBE relaxed; values from VASP
&SYSTEM
  ibrav = 0, nat = 4, ntyp = 2
/
ATOMIC_SPECIES
Sb 121.76 Sb.upf
Se 78.96 Se.upf
CELL_PARAMETERS angstrom
5.373 0.000 0.000
0.000 5.373 0.000
0.000 0.000 5.373
ATOMIC_POSITIONS crystal
Sb 0.000 0.000 0.000
Se 0.000 0.000 0.500
Se 0.000 0.500 0.000
Se 0.500 0.000 0.000
! Raw formation energy: 0.5671 eV per atom
! Relative energy among the computed polymorphs: 545.9 meV/atom
! Fermi-level density of states: 1.866 states/eV/atom

***

! Sb2Se GGA-PBE relaxed; values from VASP
&SYSTEM
  ibrav = 0, nat = 3, ntyp = 2
/
ATOMIC_SPECIES
Sb 121.76 Sb.upf
Se 78.96 Se.upf
CELL_PARAMETERS angstrom
-1.829 1.829 5.601
1.829 -1.829 5.601
1.829 1.829 -5.601
ATOMIC_POSITIONS crystal
Sb 0.160 0.160 0.000
Sb 0.840 0.840 0.000
Se 0.500 0.500 0.000
! Raw formation energy: 0.1825 eV per atom
! Fermi-level density of states: 0.506 states/eV/atom

***

! Sb2Se GGA-PBE relaxed; values from VASP
&SYSTEM
  ibrav = 0, nat = 6, ntyp = 2
/
ATOMIC_SPECIES
Sb 121.76 Sb.upf
Se 78.96 Se.upf
CELL_PARAMETERS angstrom
4.775 0.000 0.000
0.000 4.076 0.000
-0.450 0.000 9.301
ATOMIC_POSITIONS crystal
Sb 0.006 0.250 0.220
Sb 0.293 0.250 0.516
Sb 0.707 0.750 0.484
Sb 0.994 0.750 0.780
Se 0.305 0.750 0.118
Se 0.695 0.250 0.882
! Raw formation energy: -0.0640 eV per atom
! Fermi-level density of states: 0.059 states/eV/atom

***

Question: Among the records above, which one has the lowest raw formation energy?
Answer: number 4

***

Question: Which value of raw formation energy does entry 1 give?
Answer: 0.3665 eV per atom